(1)
Computed, not measured: a geometry-optimized ScZnTc2 structure at the PBE-GGA level of DFT.

CIF file:
```
data_ScZnTc2
_space_group_name_H-M_alt 'P 1'
_space_group_IT_number 1
_cell_length_a 2.736
_cell_length_b 2.736
_cell_length_c 8.752
_cell_angle_alpha 90.00
_cell_angle_beta 90.00
_cell_angle_gamma 106.99
loop_
_space_group_symop_operation_xyz
'x,y,z'
loop_
_atom_site_label
_atom_site_fract_x
_atom_site_fract_y
_atom_site_fract_z
Sc1 0.500 0.500 0.750
Tc1 0.000 0.000 0.010
Tc2 0.000 0.000 0.490
Zn1 0.500 0.500 0.250
```

## Properties
* energy of formation from the pure elements: 0.10 eV per atom

=====

(2)
Computed, not measured: a geometry-optimized ScZnTc2 structure at the PBE-GGA level of DFT.

CIF file:
```
data_ScZnTc2
_space_group_name_H-M_alt 'P 1'
_space_group_IT_number 1
_cell_length_a 4.455
_cell_length_b 4.455
_cell_length_c 4.455
_cell_angle_alpha 120.16
_cell_angle_beta 120.16
_cell_angle_gamma 89.72
loop_
_space_group_symop_operation_xyz
'x,y,z'
loop_
_atom_site_label
_atom_site_fract_x
_atom_site_fract_y
_atom_site_fract_z
Tc1 0.250 0.750 0.500
Tc2 0.000 0.000 0.000
Zn1 0.500 0.500 0.000
Sc1 0.750 0.250 0.500
```

## Properties
* energy of formation from the pure elements: -0.13 eV per atom

=====

(3)
Computed, not measured: a geometry-optimized ScZnTc2 structure at the PBE-GGA level of DFT.

CIF file:
```
data_ScZnTc2
_space_group_name_H-M_alt 'P 1'
_space_group_IT_number 1
_cell_length_a 7.232
_cell_length_b 7.232
_cell_length_c 5.732
_cell_angle_alpha 50.89
_cell_angle_beta 50.89
_cell_angle_gamma 90.00
loop_
_space_group_symop_operation_xyz
'x,y,z'
loop_
_atom_site_label
_atom_site_fract_x
_atom_site_fract_y
_atom_site_fract_z
Zn1 0.000 0.000 0.000
Sc1 0.500 0.500 0.000
Sc2 0.250 0.750 0.500
Tc1 0.375 0.347 0.750
Tc2 0.097 0.625 0.250
Tc3 0.875 0.903 0.750
Tc4 0.653 0.125 0.250
Zn2 0.750 0.250 0.500
```

## Properties
* energy of formation from the pure elements: 0.46 eV per atom

=====

(4)
Computed, not measured: a geometry-optimized ScZnTc2 structure at the PBE-GGA level of DFT.

CIF file:
```
data_ScZnTc2
_space_group_name_H-M_alt 'P 1'
_space_group_IT_number 1
_cell_length_a 2.777
_cell_length_b 2.777
_cell_length_c 8.836
_cell_angle_alpha 90.00
_cell_angle_beta 90.00
_cell_angle_gamma 108.96
loop_
_space_group_symop_operation_xyz
'x,y,z'
loop_
_atom_site_label
_atom_site_fract_x
_atom_site_fract_y
_atom_site_fract_z
Sc1 0.500 0.500 0.761
Tc1 0.500 0.500 0.241
Tc2 0.000 0.000 0.011
Zn1 0.000 0.000 0.487
```

## Properties
* energy of formation from the pure elements: 0.10 eV per atom

=====

(5)
Computed, not measured: a geometry-optimized ScZnTc2 structure at the PBE-GGA level of DFT.

CIF file:
```
data_ScZnTc2
_space_group_name_H-M_alt 'P 1'
_space_group_IT_number 1
_cell_length_a 2.704
_cell_length_b 2.704
_cell_length_c 8.653
_cell_angle_alpha 90.00
_cell_angle_beta 90.00
_cell_angle_gamma 90.00
loop_
_space_group_symop_operation_xyz
'x,y,z'
loop_
_atom_site_label
_atom_site_fract_x
_atom_site_fract_y
_atom_site_fract_z
Zn1 0.500 0.500 0.250
Sc1 0.500 0.500 0.750
Tc1 0.000 0.000 0.015
Tc2 0.000 0.000 0.485
```

## Properties
* energy of formation from the pure elements: 0.17 eV per atom

=====

(6)
Computed, not measured: a geometry-optimized Sc3Zn2Tc structure at the PBE-GGA level of DFT.

CIF file:
```
data_Sc3Zn2Tc
_space_group_name_H-M_alt 'P 1'
_space_group_IT_number 1
_cell_length_a 3.329
_cell_length_b 3.329
_cell_length_c 9.900
_cell_angle_alpha 90.00
_cell_angle_beta 90.00
_cell_angle_gamma 90.00
loop_
_space_group_symop_operation_xyz
'x,y,z'
loop_
_atom_site_label
_atom_site_fract_x
_atom_site_fract_y
_atom_site_fract_z
Tc1 0.500 0.500 0.500
Sc1 0.000 0.000 0.652
Zn1 0.500 0.500 0.827
Sc2 0.000 0.000 0.000
Zn2 0.500 0.500 0.173
Sc3 0.000 0.000 0.348
```

## Properties
* energy of formation from the pure elements: -0.34 eV per atom

=====

(7)
Computed, not measured: a geometry-optimized ScZn3Tc structure at the PBE-GGA level of DFT.

CIF file:
```
data_ScZn3Tc
_space_group_name_H-M_alt 'P 1'
_space_group_IT_number 1
_cell_length_a 4.975
_cell_length_b 4.975
_cell_length_c 4.975
_cell_angle_alpha 90.00
_cell_angle_beta 90.00
_cell_angle_gamma 90.00
loop_
_space_group_symop_operation_xyz
'x,y,z'
loop_
_atom_site_label
_atom_site_fract_x
_atom_site_fract_y
_atom_site_fract_z
Zn1 0.000 0.000 0.500
Zn2 0.000 0.500 0.000
Zn3 0.500 0.000 0.000
Tc1 0.500 0.500 0.500
Sc1 0.000 0.000 0.000
```

## Properties
* energy of formation from the pure elements: 1.46 eV per atom

=====

(8)
Computed, not measured: a geometry-optimized Sc3Zn8Tc structure at the PBE-GGA level of DFT.

CIF file:
```
data_Sc3Zn8Tc
_space_group_name_H-M_alt 'P 1'
_space_group_IT_number 1
_cell_length_a 5.160
_cell_length_b 5.160
_cell_length_c 8.340
_cell_angle_alpha 90.00
_cell_angle_beta 90.00
_cell_angle_gamma 120.00
loop_
_space_group_symop_operation_xyz
'x,y,z'
loop_
_atom_site_label
_atom_site_fract_x
_atom_site_fract_y
_atom_site_fract_z
Sc1 0.667 0.333 0.447
Sc2 0.667 0.333 0.071
Tc1 0.000 0.000 0.571
Zn1 0.992 0.496 0.744
Zn2 0.161 0.839 0.257
Zn3 0.161 0.322 0.257
Zn4 0.333 0.667 0.503
Sc3 0.000 0.000 0.905
Zn5 0.504 0.496 0.744
Zn6 0.504 0.008 0.744
Zn7 0.678 0.839 0.257
Zn8 0.333 0.667 0.000
```

## Properties
* energy of formation from the pure elements: -0.26 eV per atom

=====

| no. | E (eV/atom) |
| --- | --- |
| 1 | -6.99 |
| 2 | -7.21 |
| 3 | -6.62 |
| 4 | -6.99 |
| 5 | -6.91 |
| 6 | -5.66 |
| 7 | -2.65 |
| 8 | -3.56 |